# 1
Compound: BaRhS2
Source: the Alexandria database
Functional: PBE
Structure: optimized geometry Values from VASP.

Cell and atoms, written as Quantum ESPRESSO input:
```
&SYSTEM
  ibrav = 0, nat = 8, ntyp = 3
/
ATOMIC_SPECIES
Ba 137.33 Ba.upf
Rh 102.91 Rh.upf
S 32.06 S.upf
ATOMIC_POSITIONS crystal
Ba 0.000 0.000 0.000
Ba 0.750 0.250 0.500
Rh 0.250 0.750 0.500
Rh 0.500 0.500 0.000
S 0.234 0.625 0.109
S 0.375 0.484 0.609
S 0.516 0.125 0.891
S 0.875 0.766 0.391
CELL_PARAMETERS angstrom
-3.016 3.016 6.114
3.016 -3.016 6.114
3.016 3.016 -6.114
```

Properties
- total energy (eV/atom) = -5.268
- total magnetization (μB per cell) = 0.00
- formation energy (no corrections) (eV/atom) = -0.886
- calculated volume (Å³ per cell) = 222.4



# 2
Compound: BaSi2RhS8
Source: the Alexandria database
Functional: PBE
Structure: optimized geometry Values from VASP.

Cell and atoms, written as Quantum ESPRESSO input:
```
&SYSTEM
  ibrav = 0, nat = 12, ntyp = 4
/
ATOMIC_SPECIES
Ba 137.33 Ba.upf
Si 28.09 Si.upf
Rh 102.91 Rh.upf
S 32.06 S.upf
ATOMIC_POSITIONS crystal
Ba 0.000 0.000 0.000
Si 0.333 0.667 0.718
Si 0.667 0.333 0.282
Rh 0.000 0.000 0.500
S 0.023 0.688 0.341
S 0.312 0.335 0.341
S 0.333 0.667 0.956
S 0.335 0.023 0.659
S 0.665 0.977 0.341
S 0.667 0.333 0.044
S 0.688 0.665 0.659
S 0.977 0.312 0.659
CELL_PARAMETERS angstrom
5.880 0.000 0.000
-2.940 5.092 0.000
0.000 0.000 8.879
```

Properties
- total energy (eV/atom) = -5.009
- total magnetization (μB per cell) = 1.96
- formation energy (no corrections) (eV/atom) = -0.580
- calculated volume (Å³ per cell) = 265.8



# 3
Compound: BaTe2RhS8
Source: the Alexandria database
Functional: PBE
Structure: optimized geometry Values from VASP.

Cell and atoms, written as Quantum ESPRESSO input:
```
&SYSTEM
  ibrav = 0, nat = 12, ntyp = 4
/
ATOMIC_SPECIES
Ba 137.33 Ba.upf
Te 127.60 Te.upf
Rh 102.91 Rh.upf
S 32.06 S.upf
ATOMIC_POSITIONS crystal
Ba 0.000 0.000 0.000
Te 0.333 0.667 0.709
Te 0.667 0.333 0.291
Rh 0.000 0.000 0.500
S 0.072 0.737 0.335
S 0.263 0.335 0.335
S 0.333 0.667 0.970
S 0.335 0.072 0.665
S 0.665 0.928 0.335
S 0.667 0.333 0.030
S 0.737 0.665 0.665
S 0.928 0.263 0.665
CELL_PARAMETERS angstrom
6.154 0.000 0.000
-3.077 5.330 0.000
0.000 0.000 8.833
```

Properties
- total energy (eV/atom) = -4.286
- total magnetization (μB per cell) = 0.00
- formation energy (no corrections) (eV/atom) = -0.238
- calculated volume (Å³ per cell) = 289.7



# 4
Compound: BaThRhS4
Source: the Alexandria database
Functional: PBE
Structure: optimized geometry Values from VASP.

Cell and atoms, written as Quantum ESPRESSO input:
```
&SYSTEM
  ibrav = 0, nat = 14, ntyp = 4
/
ATOMIC_SPECIES
Ba 137.33 Ba.upf
Th 232.04 Th.upf
Rh 102.91 Rh.upf
S 32.06 S.upf
ATOMIC_POSITIONS crystal
Ba 0.102 0.898 0.750
Ba 0.898 0.102 0.250
Th 0.369 0.631 0.750
Th 0.631 0.369 0.250
Rh 0.257 0.743 0.250
Rh 0.743 0.257 0.750
S 0.000 0.500 0.000
S 0.000 0.500 0.500
S 0.098 0.902 0.250
S 0.441 0.559 0.250
S 0.500 0.000 0.000
S 0.500 0.000 0.500
S 0.559 0.441 0.750
S 0.902 0.098 0.750
CELL_PARAMETERS angstrom
3.225 -7.341 0.000
3.225 7.341 0.000
0.000 0.000 6.838
```

Properties
- total energy (eV/atom) = -6.122
- total magnetization (μB per cell) = 0.00
- formation energy (no corrections) (eV/atom) = -1.379
- calculated volume (Å³ per cell) = 323.8



# 5
Compound: BaTl2RhS
Source: the Alexandria database
Functional: PBE
Structure: optimized geometry Values from VASP.

Cell and atoms, written as Quantum ESPRESSO input:
```
&SYSTEM
  ibrav = 0, nat = 5, ntyp = 4
/
ATOMIC_SPECIES
Ba 137.33 Ba.upf
Tl 204.38 Tl.upf
Rh 102.91 Rh.upf
S 32.06 S.upf
ATOMIC_POSITIONS crystal
Ba 0.000 0.000 0.000
Tl 0.000 0.500 0.500
Tl 0.500 0.000 0.500
Rh 0.500 0.500 0.000
S 0.500 0.500 0.500
CELL_PARAMETERS angstrom
5.893 0.000 0.000
0.000 5.893 0.000
0.000 0.000 4.399
```

Properties
- total energy (eV/atom) = -3.777
- total magnetization (μB per cell) = 0.00
- formation energy (no corrections) (eV/atom) = -0.150
- calculated volume (Å³ per cell) = 152.8



# 6
Compound: BaURhS3
Source: the Alexandria database
Functional: PBE
Structure: optimized geometry Values from VASP.

Cell and atoms, written as Quantum ESPRESSO input:
```
&SYSTEM
  ibrav = 0, nat = 12, ntyp = 4
/
ATOMIC_SPECIES
Ba 137.33 Ba.upf
U 238.03 U.upf
Rh 102.91 Rh.upf
S 32.06 S.upf
ATOMIC_POSITIONS crystal
Ba 0.192 0.250 0.247
Ba 0.808 0.750 0.753
U 0.323 0.750 0.838
U 0.677 0.250 0.162
Rh 0.097 0.250 0.593
Rh 0.903 0.750 0.407
S 0.119 0.250 0.871
S 0.211 0.750 0.531
S 0.449 0.750 0.160
S 0.551 0.250 0.840
S 0.789 0.250 0.469
S 0.881 0.750 0.129
CELL_PARAMETERS angstrom
8.518 0.000 0.000
0.000 4.002 0.000
-2.572 0.000 8.583
```

Properties
- total energy (eV/atom) = -6.845
- total magnetization (μB per cell) = 3.81
- formation energy (no corrections) (eV/atom) = -1.354
- calculated volume (Å³ per cell) = 292.6



# 7
Compound: BaU2RhS7
Source: the Alexandria database
Functional: PBE
Structure: optimized geometry Values from VASP.

Cell and atoms, written as Quantum ESPRESSO input:
```
&SYSTEM
  ibrav = 0, nat = 11, ntyp = 4
/
ATOMIC_SPECIES
Ba 137.33 Ba.upf
U 238.03 U.upf
Rh 102.91 Rh.upf
S 32.06 S.upf
ATOMIC_POSITIONS crystal
Ba 0.000 0.000 0.000
U 0.366 0.366 0.000
U 0.634 0.634 0.000
Rh 0.750 0.250 0.500
S 0.111 0.611 0.500
S 0.241 0.241 0.000
S 0.389 0.889 0.500
S 0.500 0.500 0.000
S 0.628 0.128 0.500
S 0.759 0.759 0.000
S 0.872 0.372 0.500
CELL_PARAMETERS angstrom
-2.589 2.589 9.789
2.589 -2.589 9.789
2.589 2.589 -9.789
```

Properties
- total energy (eV/atom) = -6.720
- total magnetization (μB per cell) = 1.16
- formation energy (no corrections) (eV/atom) = -1.198
- calculated volume (Å³ per cell) = 262.4



# 8
Compound: Ba2URhS5
Source: the Alexandria database
Functional: PBE
Structure: optimized geometry Values from VASP.

Cell and atoms, written as Quantum ESPRESSO input:
```
&SYSTEM
  ibrav = 0, nat = 18, ntyp = 4
/
ATOMIC_SPECIES
Ba 137.33 Ba.upf
U 238.03 U.upf
Rh 102.91 Rh.upf
S 32.06 S.upf
ATOMIC_POSITIONS crystal
Ba 0.117 0.883 0.500
Ba 0.123 0.877 0.856
Ba 0.877 0.123 0.356
Ba 0.883 0.117 0.000
U 0.189 0.811 0.181
U 0.811 0.189 0.681
Rh 0.437 0.563 0.589
Rh 0.563 0.437 0.089
S 0.041 0.959 0.169
S 0.305 0.695 0.544
S 0.307 0.693 0.820
S 0.336 0.664 0.178
S 0.498 0.502 0.427
S 0.502 0.498 0.927
S 0.664 0.336 0.678
S 0.693 0.307 0.320
S 0.695 0.305 0.044
S 0.959 0.041 0.669
CELL_PARAMETERS angstrom
2.025 -8.885 0.000
2.025 8.885 0.000
0.000 0.000 13.058
```

Properties
- total energy (eV/atom) = -6.244
- total magnetization (μB per cell) = 2.80
- formation energy (no corrections) (eV/atom) = -1.453
- calculated volume (Å³ per cell) = 469.8



# 9
Compound: BaURh4S8
Source: the Alexandria database
Functional: PBE
Structure: optimized geometry Values from VASP.

Cell and atoms, written as Quantum ESPRESSO input:
```
&SYSTEM
  ibrav = 0, nat = 14, ntyp = 4
/
ATOMIC_SPECIES
Ba 137.33 Ba.upf
U 238.03 U.upf
Rh 102.91 Rh.upf
S 32.06 S.upf
ATOMIC_POSITIONS crystal
Ba 0.000 0.000 0.000
U 0.562 0.562 0.562
Rh 0.088 0.590 0.590
Rh 0.212 0.212 0.212
Rh 0.590 0.088 0.590
Rh 0.590 0.590 0.088
S 0.319 0.319 0.827
S 0.319 0.827 0.319
S 0.350 0.350 0.350
S 0.426 0.807 0.807
S 0.807 0.426 0.807
S 0.807 0.807 0.426
S 0.822 0.822 0.822
S 0.827 0.319 0.319
CELL_PARAMETERS angstrom
3.866 2.232 5.621
-3.866 2.232 5.621
0.000 -4.464 5.621
```

Properties
- total energy (eV/atom) = -6.094
- total magnetization (μB per cell) = 0.11
- formation energy (no corrections) (eV/atom) = -0.691
- calculated volume (Å³ per cell) = 291.0



# 10
Compound: Ba2URhS6
Source: the Alexandria database
Functional: PBE
Structure: optimized geometry Values from VASP.

Cell and atoms, written as Quantum ESPRESSO input:
```
&SYSTEM
  ibrav = 0, nat = 20, ntyp = 4
/
ATOMIC_SPECIES
Ba 137.33 Ba.upf
U 238.03 U.upf
Rh 102.91 Rh.upf
S 32.06 S.upf
ATOMIC_POSITIONS crystal
Ba 0.250 0.000 0.250
Ba 0.250 0.500 0.250
Ba 0.750 0.000 0.750
Ba 0.750 0.500 0.750
U 0.250 0.250 0.750
U 0.750 0.750 0.250
Rh 0.250 0.750 0.750
Rh 0.750 0.250 0.250
S 0.009 0.750 0.509
S 0.010 0.750 0.990
S 0.250 0.510 0.750
S 0.250 0.990 0.750
S 0.490 0.750 0.990
S 0.491 0.750 0.509
S 0.509 0.250 0.491
S 0.510 0.250 0.010
S 0.750 0.010 0.250
S 0.750 0.490 0.250
S 0.990 0.250 0.010
S 0.991 0.250 0.491
CELL_PARAMETERS angstrom
6.984 0.000 0.000
0.000 9.878 0.000
0.000 0.000 6.985
```

Properties
- total energy (eV/atom) = -6.131
- total magnetization (μB per cell) = 2.05
- formation energy (no corrections) (eV/atom) = -1.406
- calculated volume (Å³ per cell) = 481.9



# 11
Compound: BaURhS4
Source: the Alexandria database
Functional: PBE
Structure: optimized geometry Values from VASP.

Cell and atoms, written as Quantum ESPRESSO input:
```
&SYSTEM
  ibrav = 0, nat = 14, ntyp = 4
/
ATOMIC_SPECIES
Ba 137.33 Ba.upf
U 238.03 U.upf
Rh 102.91 Rh.upf
S 32.06 S.upf
ATOMIC_POSITIONS crystal
Ba 0.250 0.250 0.055
Ba 0.750 0.750 0.945
U 0.251 0.250 0.555
U 0.749 0.750 0.445
Rh 0.227 0.750 0.345
Rh 0.773 0.250 0.655
S 0.035 0.517 0.712
S 0.035 0.983 0.712
S 0.445 0.750 0.162
S 0.456 0.750 0.600
S 0.544 0.250 0.400
S 0.555 0.250 0.838
S 0.965 0.017 0.288
S 0.965 0.483 0.288
CELL_PARAMETERS angstrom
6.538 0.000 0.000
0.000 5.935 0.000
-2.471 0.000 8.202
```

Properties
- total energy (eV/atom) = -6.520
- total magnetization (μB per cell) = 1.51
- formation energy (no corrections) (eV/atom) = -1.224
- calculated volume (Å³ per cell) = 318.3



# 12
Compound: Ba2VRhS
Source: the Alexandria database
Functional: PBE
Structure: optimized geometry Values from VASP.

Cell and atoms, written as Quantum ESPRESSO input:
```
&SYSTEM
  ibrav = 0, nat = 5, ntyp = 4
/
ATOMIC_SPECIES
Ba 137.33 Ba.upf
V 50.94 V.upf
Rh 102.91 Rh.upf
S 32.06 S.upf
ATOMIC_POSITIONS crystal
Ba 0.000 0.500 0.000
Ba 0.500 0.000 0.000
V 0.000 0.000 0.500
Rh 0.500 0.500 0.000
S 0.500 0.500 0.500
CELL_PARAMETERS angstrom
6.180 0.000 0.000
0.000 6.180 0.000
0.000 0.000 4.411
```

Properties
- total energy (eV/atom) = -4.534
- total magnetization (μB per cell) = 0.68
- formation energy (no corrections) (eV/atom) = 0.354
- calculated volume (Å³ per cell) = 168.5